i:
Compound: ZnRe
Source: the Alexandria database
Functional: PBE-GGA
Structure: optimized geometry

Properties
* crystal system: cubic
* N(E_F): 1.78 states/eV/f.u.
* calculated volume: 14.13 A^3/atom

```
data_ZnRe
_space_group_name_H-M_alt 'P m -3 m'
_space_group_IT_number 221
_space_group_name_Hall '-P 4 2 3'
_cell_length_a 3.046
_cell_length_b 3.046
_cell_length_c 3.046
_cell_angle_alpha 90.00
_cell_angle_beta 90.00
_cell_angle_gamma 90.00
loop_
_atom_site_label
_atom_site_type_symbol
_atom_site_fract_x
_atom_site_fract_y
_atom_site_fract_z
_atom_site_occupancy
Zn1 Zn 0.000 0.000 0.000 1
Re1 Re 0.500 0.500 0.500 1
```

***

ii:
Compound: ZnRe
Source: the Alexandria database
Functional: PBE-GGA
Structure: optimized geometry

Properties
* crystal system: hexagonal
* N(E_F): 1.72 states/eV/f.u.
* calculated volume: 19.15 A^3/atom

```
data_ZnRe
_space_group_name_H-M_alt 'P 63/m m c'
_space_group_IT_number 194
_space_group_name_Hall '-P 6c 2c'
_cell_length_a 7.9337
_cell_length_b 7.9337
_cell_length_c 4.2159
_cell_angle_alpha 90.00
_cell_angle_beta 90.00
_cell_angle_gamma 120.00
loop_
_atom_site_label
_atom_site_type_symbol
_atom_site_fract_x
_atom_site_fract_y
_atom_site_fract_z
_atom_site_occupancy
Zn1 Zn 0.2013 0.4025 0.2500 1
Re1 Re 0.1131 0.5566 0.7500 1
```

***

iii:
Compound: ZnRe
Source: the Alexandria database
Functional: PBE-GGA
Structure: optimized geometry

Properties
* crystal system: tetragonal
* N(E_F): 0.69 states/eV/f.u.
* calculated volume: 16.12 A^3/atom

```
data_ZnRe
_space_group_name_H-M_alt 'I 4/m m m'
_space_group_IT_number 139
_space_group_name_Hall '-I 4 2'
_cell_length_a 7.686
_cell_length_b 7.686
_cell_length_c 4.367
_cell_angle_alpha 90.00
_cell_angle_beta 90.00
_cell_angle_gamma 90.00
loop_
_atom_site_label
_atom_site_type_symbol
_atom_site_fract_x
_atom_site_fract_y
_atom_site_fract_z
_atom_site_occupancy
Zn1 Zn 0.000 0.282 0.000 1
Re1 Re 0.164 0.164 0.500 1
```

***

Which one sits at the bottom of the stability order? i does.